Density functional theory data (PBE) for an optimized crystal structure of CaIr.

Computed properties:
**Formation energy**: 1.243 eV/atom

a b c (Å): 8.036 8.036 8.036
angles (deg): 90.00 90.00 90.00
Site moments in Bohr magnetons follow the coordinates.
Sites, in units of the cell vectors:
Ir 0.250 0.000 0.500  0.98
Ir 0.500 0.250 0.000  0.98
Ir 0.000 0.500 0.750  0.98
Ir 0.750 0.000 0.500  0.98
Ir 0.500 0.750 0.000  0.98
Ir 0.000 0.500 0.250  0.98
Ca 0.000 0.250 0.500  -0.01
Ca 0.000 0.750 0.500  -0.01
Ca 0.750 0.500 0.000  -0.01
Ca 0.500 0.000 0.750  -0.01
Ca 0.250 0.500 0.000  -0.01
Ca 0.500 0.000 0.250  -0.01